#i
VASP calculation (SCAN) on a crystal of OsPt2Rh relaxed with PBEsol.

```
OsPt2Rh
1.0
3.8505 0.0000 0.0000
0.0000 3.8505 0.0000
0.0000 0.0000 3.8566
Os Pt Rh
1 2 1
Direct
0.0000 0.0000 0.0000
0.0000 0.5000 0.5000
0.5000 0.0000 0.5000
0.5000 0.5000 0.0000
```

## Properties
Crystal system ... tetragonal
Size of the total moment ... 0.000 μB per atom

#ii
VASP calculation (SCAN) on a crystal of OsPt2Rh relaxed with PBEsol.

```
OsPt2Rh
1.0
1.3607 0.7856 8.9407
-1.3607 0.7856 8.9407
0.0000 -1.5712 8.9407
Os Pt Rh
1 2 1
Direct
0.0000 0.0000 0.0000
0.2501 0.2501 0.2501
0.4961 0.4961 0.4961
0.7445 0.7445 0.7445
```

## Properties
Crystal system ... trigonal
Size of the total moment ... 0.000 μB per atom

#iii
VASP calculation (SCAN) on a crystal of OsPt2Rh relaxed with PBEsol.

```
OsPt2Rh
1.0
2.7178 0.0000 0.0000
0.0000 3.8501 0.0000
0.0000 0.0000 5.4585
Os Pt Rh
1 2 1
Direct
0.0000 0.0000 0.0000
0.0000 0.0000 0.5104
0.5000 0.5000 0.2496
0.5000 0.5000 0.7685
```

## Properties
Crystal system ... orthorhombic
Size of the total moment ... 0.000 μB per atom

How do the structures above rank in stability at the extremes? #ii comes first and #i comes last.